A.
Below is a geometry-optimized HfAu2C2 structure, with properties calculated at the PBE-GGA level. Values from VASP.

Results
DOS(E_F): 1.76 states/eV per cell

Geometry as Quantum ESPRESSO input:
```
&SYSTEM
  ibrav = 0, nat = 5, ntyp = 3
/
ATOMIC_SPECIES
C 12.01 C.upf
Au 196.97 Au.upf
Hf 178.49 Hf.upf
ATOMIC_POSITIONS crystal
C 0.2500 0.7500 0.5000
C 0.7500 0.2500 0.5000
Au 0.6551 0.6551 0.6898
Au 0.3449 0.3449 0.3102
Hf 0.0000 0.0000 0.0000
CELL_PARAMETERS angstrom
4.0933 0.0000 0.0000
0.0000 4.0933 0.0000
2.0466 2.0466 4.2733
```

B.
Below is a geometry-optimized HfAu2C2 structure, with properties calculated at the PBE-GGA level. Values from VASP.

Results
DOS(E_F): 3.23 states/eV per cell

Geometry as Quantum ESPRESSO input:
```
&SYSTEM
  ibrav = 0, nat = 10, ntyp = 3
/
ATOMIC_SPECIES
C 12.01 C.upf
Au 196.97 Au.upf
Hf 178.49 Hf.upf
ATOMIC_POSITIONS crystal
C 0.7156 0.7844 0.5000
C 0.2156 0.7156 0.5000
C 0.2844 0.2156 0.5000
C 0.7844 0.2844 0.5000
Au 0.1288 0.3712 0.0000
Au 0.3712 0.8712 0.0000
Au 0.8712 0.6288 0.0000
Au 0.6288 0.1288 0.0000
Hf 0.5000 0.5000 0.0000
Hf 0.0000 0.0000 0.0000
CELL_PARAMETERS angstrom
-0.7988 -6.7781 1.9407
3.4543 1.3264 6.0544
-2.5877 0.6847 1.3264
```

Which is most stable? The ranking, best first, is A, B.

A.
Below is a geometry-optimized HgAu2C structure, with properties calculated at the PBE-GGA level. Values from VASP.

Results
DOS(E_F): 3.66 states/eV per cell

Geometry as Quantum ESPRESSO input:
```
&SYSTEM
  ibrav = 0, nat = 8, ntyp = 3
/
ATOMIC_SPECIES
Hg 200.59 Hg.upf
Au 196.97 Au.upf
C 12.01 C.upf
ATOMIC_POSITIONS crystal
Hg 0.7500 0.2500 0.5000
Hg 0.0000 0.0000 0.0000
Au 0.8750 0.7515 0.7500
Au 0.2485 0.6250 0.2500
Au 0.3750 0.4985 0.7500
Au 0.5015 0.1250 0.2500
C 0.2500 0.7500 0.5000
C 0.5000 0.5000 0.0000
CELL_PARAMETERS angstrom
6.0483 0.0000 0.0000
0.0000 6.0483 0.0000
3.0241 3.0241 4.7132
```

B.
Below is a geometry-optimized HgAu2C structure, with properties calculated at the PBE-GGA level. Values from VASP.

Results
DOS(E_F): 3.18 states/eV per cell

Geometry as Quantum ESPRESSO input:
```
&SYSTEM
  ibrav = 0, nat = 4, ntyp = 3
/
ATOMIC_SPECIES
Au 196.97 Au.upf
C 12.01 C.upf
Hg 200.59 Hg.upf
ATOMIC_POSITIONS crystal
Au 0.7500 0.7500 0.7500
Au 0.2500 0.2500 0.2500
C 0.0000 0.0000 0.0000
Hg 0.5000 0.5000 0.5000
CELL_PARAMETERS angstrom
-3.9725 -0.4685 2.2893
-0.9580 2.7832 3.5465
-3.2868 3.2050 -0.4083
```

Which is most stable? The ranking, best first, is A, B.

A.
Below is a geometry-optimized HgAu3C structure, with properties calculated at the PBE-GGA level. Values from VASP.

Results
DOS(E_F): 4.47 states/eV per cell

Geometry as Quantum ESPRESSO input:
```
&SYSTEM
  ibrav = 0, nat = 5, ntyp = 3
/
ATOMIC_SPECIES
C 12.01 C.upf
Au 196.97 Au.upf
Hg 200.59 Hg.upf
ATOMIC_POSITIONS crystal
C 0.5000 0.5000 0.5000
Au 0.0000 0.5000 0.0000
Au 0.5000 0.0000 0.0000
Au 0.0000 0.0000 0.5000
Hg 0.0000 0.0000 0.0000
CELL_PARAMETERS angstrom
-3.4693 1.5427 -3.6348
-3.8933 -2.1434 2.8064
-0.6585 4.5447 2.5574
```

B.
Below is a geometry-optimized HgAu3C structure, with properties calculated at the PBE-GGA level. Values from VASP.

Results
DOS(E_F): 2.97 states/eV per cell

Geometry as Quantum ESPRESSO input:
```
&SYSTEM
  ibrav = 0, nat = 5, ntyp = 3
/
ATOMIC_SPECIES
Au 196.97 Au.upf
C 12.01 C.upf
Hg 200.59 Hg.upf
ATOMIC_POSITIONS crystal
Au 0.0000 0.5000 0.0000
Au 0.5000 0.0000 0.0000
Au 0.0000 0.0000 0.5000
C 0.0000 0.0000 0.0000
Hg 0.5000 0.5000 0.5000
CELL_PARAMETERS angstrom
-4.4277 -0.2354 0.0877
0.0517 -2.3703 -3.7479
0.2458 -3.7408 2.3692
```

Which is most stable? The ranking, best first, is B, A.

A.
Below is a geometry-optimized Hg3AuC structure, with properties calculated at the PBE-GGA level. Values from VASP.

Results
DOS(E_F): 2.19 states/eV per cell

Geometry as Quantum ESPRESSO input:
```
&SYSTEM
  ibrav = 0, nat = 5, ntyp = 3
/
ATOMIC_SPECIES
Hg 200.59 Hg.upf
C 12.01 C.upf
Au 196.97 Au.upf
ATOMIC_POSITIONS crystal
Hg 0.5000 0.0000 0.0000
Hg 0.0000 0.5000 0.0000
Hg 0.0000 0.0000 0.5000
C 0.0000 0.0000 0.0000
Au 0.5000 0.5000 0.5000
CELL_PARAMETERS angstrom
4.7114 0.0000 0.0000
0.0000 4.7114 0.0000
0.0000 0.0000 4.7114
```

B.
Below is a geometry-optimized Hg3AuC structure, with properties calculated at the PBE-GGA level. Values from VASP.

Results
DOS(E_F): 5.49 states/eV per cell

Geometry as Quantum ESPRESSO input:
```
&SYSTEM
  ibrav = 0, nat = 5, ntyp = 3
/
ATOMIC_SPECIES
Au 196.97 Au.upf
Hg 200.59 Hg.upf
C 12.01 C.upf
ATOMIC_POSITIONS crystal
Au 0.0000 0.0000 0.0000
Hg 0.0000 0.0000 0.5000
Hg 0.0000 0.5000 0.0000
Hg 0.5000 0.0000 0.0000
C 0.5000 0.5000 0.5000
CELL_PARAMETERS angstrom
5.4232 0.0000 0.0000
0.0000 5.4232 0.0000
0.0000 0.0000 5.4232
```

Which is most stable? The ranking, best first, is A, B.